! Sb2TeAsPd, relaxed, DFT PBE-GGA; values from VASP
&SYSTEM
  ibrav = 0, nat = 5, ntyp = 4
/
ATOMIC_SPECIES
Sb 121.76 Sb.upf
Te 127.60 Te.upf
As 74.92 As.upf
Pd 106.42 Pd.upf
CELL_PARAMETERS angstrom
5.268 0.000 0.000
0.000 5.268 0.000
0.000 0.000 5.440
ATOMIC_POSITIONS crystal
Sb 0.000 0.500 0.000
Sb 0.500 0.000 0.000
Te 0.000 0.000 0.500
As 0.000 0.000 0.000
Pd 0.500 0.500 0.500
! E_form (uncorrected), eV/f.u.: 4.16
! Space group: P4/mmm, No. 123
! Distance to the lowest polymorph of the same formula, meV per atom: 310

! Al3V7Sn, relaxed, DFT PBE-GGA; values from VASP
&SYSTEM
  ibrav = 0, nat = 22, ntyp = 3
/
ATOMIC_SPECIES
Al 26.98 Al.upf
V 50.94 V.upf
Sn 118.71 Sn.upf
CELL_PARAMETERS angstrom
2.078 -6.944 0.000
2.078 6.944 0.000
0.000 0.000 11.437
ATOMIC_POSITIONS crystal
Al 0.065 0.935 0.750
Al 0.096 0.904 0.517
Al 0.096 0.904 0.983
Al 0.904 0.096 0.017
Al 0.904 0.096 0.483
Al 0.935 0.065 0.250
V 0.250 0.750 0.750
V 0.290 0.710 0.559
V 0.290 0.710 0.941
V 0.336 0.664 0.143
V 0.336 0.664 0.357
V 0.479 0.521 0.615
V 0.479 0.521 0.885
V 0.521 0.479 0.115
V 0.521 0.479 0.385
V 0.664 0.336 0.643
V 0.664 0.336 0.857
V 0.710 0.290 0.059
V 0.710 0.290 0.441
V 0.750 0.250 0.250
Sn 0.131 0.869 0.250
Sn 0.869 0.131 0.750
! Energy relative to the elements, eV per formula unit: 0.1
! Space group: Cmcm, No. 63

Mass density (computed, g/cm3): 6.1 5.6